## Li5Ni5Sb2O12 (PBE+U)

Data for a geometry-optimized Li5Ni5Sb2O12 structure.

Cell: 5.265 5.265 10.033 Å, 95.45 95.45 120.59°
Atoms (fractional coordinates):
Li: 0.000 0.000 0.000
Li: 0.257 0.237 0.755
Li: 0.413 0.087 0.245
Li: 0.763 0.743 0.245
Li: 0.913 0.587 0.755
Ni: 0.088 0.410 0.247
Ni: 0.171 0.829 0.500
Ni: 0.505 0.495 0.500
Ni: 0.590 0.912 0.753
Ni: 0.669 0.331 0.000
Sb: 0.336 0.664 0.000
Sb: 0.838 0.162 0.500
O: 0.058 0.690 0.119
O: 0.129 0.127 0.376
O: 0.221 0.544 0.619
O: 0.310 0.942 0.881
O: 0.378 0.393 0.118
O: 0.456 0.779 0.381
O: 0.546 0.197 0.623
O: 0.607 0.622 0.882
O: 0.691 0.032 0.118
O: 0.803 0.454 0.377
O: 0.873 0.871 0.624
O: 0.968 0.309 0.882

Electronic total energy, eV per atom: -5.232
N(E_F), states/eV/atom: 0.139